No. 1
Cs2Na2Cd after structural relaxation, computed with PBE-GGA. Values from VASP.

```
&SYSTEM
  ibrav = 0, nat = 10, ntyp = 3
/
ATOMIC_SPECIES
Cs 132.91 Cs.upf
Na 22.99 Na.upf
Cd 112.41 Cd.upf
CELL_PARAMETERS angstrom
-4.489 8.556 3.920
4.489 -8.556 3.920
4.489 8.556 -3.920
ATOMIC_POSITIONS crystal
Cs 0.116 0.175 0.291
Cs 0.384 0.675 0.060
Cs 0.616 0.325 0.940
Cs 0.884 0.825 0.709
Na 0.134 0.633 0.768
Na 0.366 0.133 0.499
Na 0.634 0.867 0.501
Na 0.866 0.367 0.232
Cd 0.250 0.750 0.500
Cd 0.750 0.250 0.500
```

The value obtained for the volume is 602 Å³ per cell. As for the total energy: -1.0297 eV per atom. The formation energy comes out at 0.022 eV/atom. The calculation puts the total moment at 0.00 μB per cell. The density of states at the Fermi level is 2.8 states/eV/f.u.

No. 2
Lu2Be2SiO7 after structural relaxation, computed with PBE-GGA. Values from VASP.

```
&SYSTEM
  ibrav = 0, nat = 24, ntyp = 4
/
ATOMIC_SPECIES
Lu 174.97 Lu.upf
Be 9.01 Be.upf
Si 28.09 Si.upf
O 16.00 O.upf
CELL_PARAMETERS angstrom
7.228 0.000 0.000
0.000 7.228 0.000
0.000 0.000 4.728
ATOMIC_POSITIONS crystal
Lu 0.158 0.342 0.010
Lu 0.342 0.842 0.990
Lu 0.658 0.158 0.990
Lu 0.842 0.658 0.010
Be 0.138 0.638 0.543
Be 0.362 0.138 0.457
Be 0.638 0.862 0.457
Be 0.862 0.362 0.543
Si 0.000 0.000 0.500
Si 0.500 0.500 0.500
O 0.000 0.500 0.690
O 0.085 0.839 0.706
O 0.142 0.642 0.207
O 0.161 0.085 0.294
O 0.339 0.585 0.706
O 0.358 0.142 0.793
O 0.415 0.339 0.294
O 0.500 0.000 0.310
O 0.585 0.661 0.294
O 0.642 0.858 0.793
O 0.661 0.415 0.706
O 0.839 0.915 0.294
O 0.858 0.358 0.207
O 0.915 0.161 0.706
```

The value obtained for the volume is 247 Å³ per cell. As for the total energy: -7.9099 eV per atom. The calculation puts the total moment at 0.00 μB per cell. The formation energy without anion corrections comes out at -3191 meV per atom. The density of states at the Fermi level is 0.0 states/eV/f.u.